Computed, not measured: a relaxed Zr4Cd2In crystal at the PBE level of DFT.

Cell: 5.200 2.979 11.480 Å, 97.46 90.00 90.00°
Positions (direct):
Cd 0.500 0.804 0.609
In 0.000 0.500 0.000
Cd 0.500 0.196 0.391
Zr 0.500 0.064 0.128
Zr 0.000 0.126 0.251
Zr 0.500 0.936 0.872
Zr 0.000 0.874 0.749

Computed properties:
The value obtained for the total magnetic moment is 0.00 μB/cell. For the volume, the calculation gives 25.2 Å³/atom.

Computed, not measured: a relaxed ZrCd2In crystal at the PBE level of DFT.

Cell: 3.205 3.205 8.917 Å, 90.00 90.00 89.99°
Positions (direct):
Cd 0.000 0.000 0.508
Zr 0.500 0.500 0.750
In 0.500 0.500 0.250
Cd 0.000 0.000 0.992

Computed properties:
The value obtained for the total magnetic moment is 0.00 μB/cell. For the volume, the calculation gives 22.9 Å³/atom.

Computed, not measured: a relaxed Zr6CdIn2 crystal at the PBE level of DFT.

Cell: 4.430 9.589 9.588 Å, 90.00 90.00 90.00°
Positions (direct):
Zr 0.500 0.498 0.333
In 0.500 0.173 0.327
In 0.000 0.673 0.173
Zr 0.500 0.502 0.667
Zr 0.500 0.160 0.660
Cd 0.500 0.500 0.000
Zr 0.000 0.667 0.498
Zr 0.500 0.167 0.002
Zr 0.500 0.833 0.998
Zr 0.000 0.333 0.502
Zr 0.000 0.002 0.833
In 0.000 0.327 0.827
Zr 0.000 0.998 0.167
Zr 0.500 0.840 0.340
Zr 0.000 0.340 0.160
In 0.500 0.827 0.673
Zr 0.000 0.660 0.840
Cd 0.000 0.000 0.500

Computed properties:
The value obtained for the total magnetic moment is 0.00 μB/cell. For the volume, the calculation gives 22.6 Å³/atom.

Computed, not measured: a relaxed ZrCd2In crystal at the PBE level of DFT.

Cell: 6.136 6.136 6.136 Å, 146.71 133.23 58.61°
Positions (direct):
Cd 0.493 0.493 0.000
Zr 0.250 0.750 0.500
Cd 0.007 0.007 0.000
In 0.750 0.250 0.500

Computed properties:
The value obtained for the total magnetic moment is 0.00 μB/cell. For the volume, the calculation gives 22.9 Å³/atom.

Computed, not measured: a relaxed ZrCd2In crystal at the PBE level of DFT.

Cell: 10.616 10.616 10.616 Å, 17.33 17.33 17.33°
Positions (direct):
In 0.250 0.250 0.250
Zr 0.750 0.750 0.750
Cd 0.499 0.499 0.499
Cd 0.001 0.001 0.001

Computed properties:
The value obtained for the total magnetic moment is 0.00 μB/cell. For the volume, the calculation gives 23.2 Å³/atom.

Computed, not measured: a relaxed Zr6Cd5In crystal at the PBE level of DFT.

Cell: 4.458 8.283 8.283 Å, 106.94 105.60 105.60°
Positions (direct):
Cd 0.000 0.334 0.666
Zr 0.750 0.584 0.917
In 0.000 0.000 0.000
Zr 0.250 0.416 0.083
Cd 0.500 0.169 0.831
Cd 0.000 0.666 0.334
Zr 0.749 0.249 0.249
Zr 0.250 0.083 0.416
Cd 0.500 0.831 0.169
Zr 0.750 0.917 0.584
Cd 0.500 0.500 0.500
Zr 0.251 0.751 0.751

Computed properties:
The value obtained for the total magnetic moment is 0.00 μB/cell. For the volume, the calculation gives 21.8 Å³/atom.

Computed, not measured: a relaxed ZrCd2In crystal at the PBE level of DFT.

Cell: 10.588 10.588 10.588 Å, 17.31 17.31 17.31°
Positions (direct):
In 0.500 0.500 0.500
Cd 0.250 0.250 0.250
Cd 0.001 0.001 0.001
Zr 0.750 0.750 0.750

Computed properties:
The value obtained for the total magnetic moment is 0.00 μB/cell. For the volume, the calculation gives 22.9 Å³/atom.

Computed, not measured: a relaxed Zr5CdIn crystal at the PBE level of DFT.

Cell: 9.648 9.648 5.828 Å, 56.27 56.27 90.71°
Positions (direct):
Zr 0.813 0.545 0.306
Cd 0.454 0.546 0.750
Zr 0.648 0.964 0.057
Zr 0.229 0.771 0.750
Cd 0.546 0.454 0.250
In 0.000 0.000 0.500
Zr 0.771 0.229 0.250
Zr 0.455 0.187 0.194
Zr 0.187 0.455 0.694
Zr 0.352 0.036 0.943
Zr 0.036 0.352 0.443
Zr 0.545 0.813 0.806
In 0.000 0.000 0.000
Zr 0.964 0.648 0.557

Computed properties:
The value obtained for the total magnetic moment is 0.00 μB/cell. For the volume, the calculation gives 23.7 Å³/atom.

| no. | calculated total energy (eV/atom) | ΔH_f (0 K) (eV/atom) | ρ (g/cm3) |
| --- | --- | --- | --- |
| 1 | -5.21 | 0.329 | 6.63 |
| 2 | -3.31 | -0.036 | 7.81 |
| 3 | -6.60 | -0.191 | 7.25 |
| 4 | -3.32 | -0.037 | 7.81 |
| 5 | -3.28 | 0.000 | 7.72 |
| 6 | -5.03 | -0.149 | 7.79 |
| 7 | -3.29 | -0.014 | 7.81 |
| 8 | -6.56 | 0.071 | 6.83 |